LiNiN2 (PBE, optimized geometry); E above lowest polymorph = 107 meV/atom
1.0
1.413 0.816 5.834
-1.413 0.816 5.834
0.000 -1.632 5.834
Li Ni N
1 1 2
direct
0.000 0.000 0.000
0.500 0.500 0.500
0.107 0.107 0.107
0.893 0.893 0.893

***

LiNi3N (PBE, optimized geometry); E above lowest polymorph = 5 meV/atom
1.0
3.738 0.000 0.000
0.000 3.738 0.000
0.000 0.000 3.738
Li Ni N
1 3 1
direct
0.000 0.000 0.000
0.000 0.500 0.500
0.500 0.000 0.500
0.500 0.500 0.000
0.500 0.500 0.500

***

LiNi3N (PBE, optimized geometry); E above lowest polymorph = 90 meV/atom
1.0
4.512 0.000 0.000
0.000 5.096 0.000
-1.943 0.000 4.519
Li Ni N
2 6 2
direct
0.017 0.250 0.195
0.983 0.750 0.805
0.070 0.750 0.338
0.476 0.005 0.745
0.476 0.495 0.745
0.524 0.505 0.255
0.524 0.995 0.255
0.930 0.250 0.662
0.323 0.250 0.956
0.677 0.750 0.044

***

LiNi3N (PBE, optimized geometry); E above lowest polymorph = 28 meV/atom
1.0
2.669 -4.530 0.000
2.669 4.530 0.000
-2.536 0.000 4.324
Li Ni N
2 6 2
direct
0.035 0.965 0.500
0.965 0.035 0.000
0.029 0.468 0.522
0.453 0.531 0.987
0.468 0.029 0.022
0.520 0.952 0.496
0.531 0.453 0.487
0.952 0.520 0.996
0.471 0.729 0.727
0.729 0.471 0.227

***

LiNi3N (PBE, optimized geometry); E above lowest polymorph = 128 meV/atom
1.0
2.576 1.487 4.568
-2.576 1.487 4.568
0.000 -2.975 4.568
Li Ni N
2 6 2
direct
0.096 0.096 0.096
0.904 0.904 0.904
0.091 0.586 0.586
0.414 0.414 0.909
0.414 0.909 0.414
0.586 0.091 0.586
0.586 0.586 0.091
0.909 0.414 0.414
0.329 0.329 0.329
0.671 0.671 0.671

***

Compound: Li2Ni4N
Source: Alexandria via LeMat-Bulk
Functional: PBE
Structure: optimized geometry

Structure (POSCAR):
```
Li2Ni4N
1.0
-1.831 1.831 6.154
1.831 -1.831 6.154
1.831 1.831 -6.154
Li Ni N
2 4 1
direct
0.151 0.151 0.000
0.849 0.849 0.000
0.000 0.500 0.500
0.347 0.347 0.000
0.500 0.000 0.500
0.653 0.653 0.000
0.500 0.500 0.000
```

***

LiNi3N (PBE, optimized geometry); E above lowest polymorph = 28 meV/atom
1.0
4.638 -2.615 0.000
4.638 2.615 0.000
-2.904 0.000 4.306
Li Ni N
2 6 2
direct
0.000 0.000 0.000
0.008 0.008 0.504
0.494 0.494 0.965
0.500 0.500 0.458
0.508 0.992 0.001
0.509 0.994 0.486
0.992 0.508 0.001
0.994 0.509 0.486
0.261 0.261 0.254
0.739 0.739 0.732

***

LiNi3N (PBE, optimized geometry); E above lowest polymorph = 134 meV/atom
1.0
4.321 -3.484 0.000
4.321 3.484 0.000
-2.364 0.000 6.967
Li Ni N
4 12 4
direct
0.075 0.925 0.750
0.270 0.730 0.250
0.730 0.270 0.750
0.925 0.075 0.250
0.058 0.493 0.353
0.175 0.281 0.042
0.281 0.175 0.542
0.332 0.554 0.880
0.446 0.668 0.620
0.493 0.058 0.853
0.507 0.942 0.147
0.554 0.332 0.380
0.668 0.446 0.120
0.719 0.825 0.458
0.825 0.719 0.958
0.942 0.507 0.647
0.176 0.274 0.783
0.274 0.176 0.283
0.726 0.824 0.717
0.824 0.726 0.217

***

LiNi3N (PBE, optimized geometry); E above lowest polymorph = 452 meV/atom
1.0
3.904 0.000 0.000
-1.952 3.381 0.000
0.000 0.000 7.308
Li Ni N
2 6 2
direct
0.333 0.667 0.250
0.667 0.333 0.750
0.000 0.000 0.250
0.000 0.000 0.750
0.333 0.667 0.576
0.333 0.667 0.924
0.667 0.333 0.076
0.667 0.333 0.424
0.000 0.000 0.000
0.000 0.000 0.500

***

LiNi3N (PBE, optimized geometry); E above lowest polymorph = 467 meV/atom
1.0
3.386 0.000 0.000
-1.693 2.932 0.000
0.000 0.000 11.157
Li Ni N
2 6 2
direct
0.000 0.000 0.000
0.000 0.000 0.500
0.000 0.000 0.250
0.000 0.000 0.750
0.333 0.667 0.091
0.333 0.667 0.409
0.667 0.333 0.591
0.667 0.333 0.909
0.333 0.667 0.250
0.667 0.333 0.750

***

Compound: Li4NiN2
Source: Alexandria via LeMat-Bulk
Functional: PBE
Structure: optimized geometry

Structure (POSCAR):
```
Li4NiN2
1.0
1.830 1.057 6.239
-1.830 1.057 6.239
0.000 -2.114 6.239
Li Ni N
4 1 2
direct
0.097 0.097 0.097
0.296 0.296 0.296
0.704 0.704 0.704
0.903 0.903 0.903
0.500 0.500 0.500
0.406 0.406 0.406
0.594 0.594 0.594
```

***

LiNiN2 (PBE, optimized geometry); E above lowest polymorph = 0 meV/atom
1.0
-2.294 2.294 4.089
2.294 -2.294 4.089
2.294 2.294 -4.089
Li Ni N
2 2 4
direct
0.000 0.000 0.000
0.750 0.250 0.500
0.250 0.750 0.500
0.500 0.500 0.000
0.179 0.625 0.054
0.375 0.429 0.554
0.571 0.125 0.946
0.875 0.821 0.446

***

LiNi3N (PBE, optimized geometry); E above lowest polymorph = 1930 meV/atom
1.0
3.853 0.000 0.000
0.000 3.853 0.000
0.000 0.000 3.853
Li Ni N
1 3 1
direct
0.000 0.000 0.000
0.000 0.000 0.500
0.000 0.500 0.000
0.500 0.000 0.000
0.500 0.500 0.500

***

LiNi3N (PBE, optimized geometry); E above lowest polymorph = 238 meV/atom
1.0
-2.349 3.237 3.619
2.349 -3.237 3.619
2.349 3.237 -3.619
Li Ni N
2 6 2
direct
0.000 0.000 0.000
0.500 0.000 0.500
0.000 0.000 0.500
0.000 0.500 0.000
0.223 0.655 0.568
0.413 0.345 0.068
0.587 0.655 0.932
0.777 0.345 0.432
0.203 0.453 0.750
0.797 0.547 0.250

***

LiNi3N (PBE, optimized geometry); E above lowest polymorph = 150 meV/atom
1.0
0.000 4.953 4.953
4.953 0.000 4.953
4.953 4.953 0.000
Li Ni N
4 12 4
direct
0.000 0.000 0.000
0.000 0.000 0.500
0.000 0.500 0.000
0.500 0.000 0.000
0.187 0.187 0.563
0.187 0.563 0.187
0.187 0.563 0.563
0.437 0.437 0.813
0.437 0.813 0.437
0.437 0.813 0.813
0.563 0.187 0.187
0.563 0.187 0.563
0.563 0.563 0.187
0.813 0.437 0.437
0.813 0.437 0.813
0.813 0.813 0.437
0.000 0.500 0.500
0.500 0.000 0.500
0.500 0.500 0.000
0.500 0.500 0.500

***

LiNi3N (PBE, optimized geometry); E above lowest polymorph = 605 meV/atom
1.0
2.607 0.000 0.000
0.000 2.413 6.673
0.000 -2.413 6.673
Li Ni N
1 3 1
direct
0.000 0.000 0.000
0.000 0.410 0.927
0.000 0.927 0.410
0.500 0.823 0.823
0.500 0.691 0.691

***

LiNi3N (PBE, optimized geometry); E above lowest polymorph = 959 meV/atom
1.0
-2.037 2.037 9.276
2.037 -2.037 9.276
2.037 2.037 -9.276
Li Ni N
2 6 2
direct
0.000 0.000 0.000
0.750 0.250 0.500
0.371 0.125 0.245
0.400 0.400 0.000
0.600 0.600 0.000
0.875 0.120 0.245
0.875 0.629 0.755
0.880 0.125 0.755
0.103 0.603 0.500
0.397 0.897 0.500

***

Compound: Li6Ni2N3
Source: Alexandria via LeMat-Bulk
Functional: PBE
Structure: optimized geometry

Structure (POSCAR):
```
Li6Ni2N3
1.0
3.524 0.000 0.000
0.000 5.596 3.199
0.000 -5.596 3.199
Li Ni N
6 2 3
direct
0.000 0.000 0.000
0.000 0.054 0.383
0.000 0.383 0.054
0.000 0.457 0.700
0.000 0.700 0.457
0.500 0.333 0.333
0.500 0.076 0.713
0.500 0.713 0.076
0.000 0.074 0.714
0.000 0.344 0.344
0.000 0.714 0.074
```

***

LiNiN2 (PBE, optimized geometry); E above lowest polymorph = 614 meV/atom
1.0
1.638 0.946 4.635
-1.638 0.946 4.635
0.000 -1.891 4.635
Li Ni N
1 1 2
direct
0.000 0.000 0.000
0.500 0.500 0.500
0.377 0.377 0.377
0.623 0.623 0.623

***

LiNi3N (PBE, optimized geometry); E above lowest polymorph = 527 meV/atom
1.0
3.347 0.000 0.000
0.000 3.347 0.000
0.000 0.000 6.370
Li Ni N
1 3 1
direct
0.000 0.000 0.000
0.000 0.000 0.606
0.000 0.500 0.327
0.500 0.000 0.327
0.500 0.500 0.202

***

Quick rundown of E_form (uncorrected), same order as above: 0.5325, -0.1465, -0.0616, -0.1235, -0.0228, 0.1184, -0.1228, -0.0170, 0.3006, 0.3155, -0.3118, 0.4256, 1.7788, 0.0869, -0.0014, 0.4540, 0.8072, -0.3340, 1.0393, 0.3761 eV/atom
Quick rundown of energy, same order as above: -5.554, -5.663, -5.578, -5.640, -5.539, -4.921, -5.639, -5.534, -5.216, -5.201, -4.610, -5.661, -3.738, -5.430, -5.518, -5.063, -4.709, -4.700, -5.047, -5.141 eV/atom